No. 1
Ca3AgSb: relaxed, PBE.

abc: 5.5898 5.5898 5.5898
angles: 90.00 90.00 90.00
Last column: nearest neighbours and their distance in Å.
Fractional positions:
Sb  0.5000  0.5000  0.5000  12 Ca 3.95
Ca  0.0000  0.5000  0.0000  2 Ag 2.79
Ca  0.0000  0.0000  0.5000  2 Ag 2.79
Ca  0.5000  0.0000  0.0000  2 Ag 2.79
Ag  0.0000  0.0000  0.0000  6 Ca 2.79

As for the distance to the lowest polymorph of the same formula: 170 kJ/mol of formula units. As for the energy relative to the elements, uncorrected: -19.8 kJ per mole of atoms.

=====

No. 2
AlV12H4: relaxed, PBE.

abc: 6.2609 6.2609 6.2609
angles: 109.47 109.47 109.47
Last column: nearest neighbours and their distance in Å.
Fractional positions:
Al  0.0000  0.0000  0.0000  12 V 2.62
V  0.8298  0.3207  0.1505  2 H 1.96
V  0.3207  0.4908  0.1702  2 H 1.96
V  0.8495  0.1702  0.6793  2 H 1.96
V  0.3207  0.1505  0.8298  2 H 1.96
V  0.1505  0.8298  0.3207  2 H 1.96
V  0.6793  0.5092  0.8298  2 H 1.96
V  0.4908  0.1702  0.3207  2 H 1.96
V  0.5092  0.8298  0.6793  2 H 1.96
V  0.6793  0.8495  0.1702  2 H 1.96
V  0.8298  0.6793  0.5092  2 H 1.96
V  0.1702  0.3207  0.4908  2 H 1.96
V  0.1702  0.6793  0.8495  2 H 1.96
H  0.0000  0.5000  0.0000  6 V 1.96
H  0.5000  0.0000  0.0000  6 V 1.96
H  0.5000  0.5000  0.5000  6 V 1.96
H  0.0000  0.0000  0.5000  6 V 1.96

For the energy, the calculation gives -0.5388 Ry/atom.

=====

No. 3
Cs3Pu2F8: relaxed, PBE.

abc: 7.3492 7.3492 8.6484
angles: 64.84 64.84 59.98
Last column: nearest neighbours and their distance in Å.
Fractional positions:
Cs  0.0000  0.0000  0.0000  6 F 3.11-3.12
Cs  0.1983  0.1983  0.4054  4 F 2.88-2.96
Cs  0.8017  0.8017  0.5946  4 F 2.88-2.96
Pu  0.4211  0.4211  0.7365  4 F 2.16-2.22
Pu  0.5789  0.5789  0.2635  4 F 2.16-2.22
F  0.3255  0.3255  0.0233  1 Pu 2.16
F  0.6745  0.6745  0.9767  1 Pu 2.16
F  0.2647  0.7809  0.6891  1 Pu 2.22
F  0.7809  0.2647  0.6891  1 Pu 2.22
F  0.2649  0.2649  0.6892  1 Pu 2.22
F  0.2191  0.7353  0.3109  1 Pu 2.22
F  0.7353  0.2191  0.3109  1 Pu 2.22
F  0.7351  0.7351  0.3108  1 Pu 2.22

As for the energy relative to the elements, uncorrected: -293.7 kJ per mole of atoms.

=====

No. 4
PaTlHg2F6: relaxed, PBE.

abc: 7.1559 7.1559 7.1559
angles: 60.00 60.00 60.00
Last column: nearest neighbours and their distance in Å.
Fractional positions:
Pa  0.0000  0.0000  0.0000  6 F 2.12
Tl  0.5000  0.5000  0.5000  6 F 2.94
Hg  0.7500  0.7500  0.7500  12 F 3.60
Hg  0.2500  0.2500  0.2500  12 F 3.60
F  0.2094  0.7906  0.7906  1 Pa 2.12
F  0.2094  0.7906  0.2094  1 Pa 2.12
F  0.2094  0.2094  0.7906  1 Pa 2.12
F  0.7906  0.7906  0.2094  1 Pa 2.12
F  0.7906  0.2094  0.2094  1 Pa 2.12
F  0.7906  0.2094  0.7906  1 Pa 2.12

As for the energy relative to the elements, uncorrected: -256.6 kJ per mole of atoms.

=====

No. 5
LiTa2Si2: relaxed, PBE.

abc: 7.3487 7.3487 7.3487
angles: 152.95 152.95 38.63
Last column: nearest neighbours and their distance in Å.
Fractional positions:
Li  0.0000  0.0000  0.0000  8 Ta 2.84
Ta  0.6052  0.6052  0.0000  4 Si 2.64, 4 Li 2.84, 1 Ta 2.92
Ta  0.3948  0.3948  0.0000  4 Si 2.64, 4 Li 2.84, 1 Ta 2.92
Si  0.2500  0.7500  0.5000  4 Si 2.43, 4 Ta 2.64
Si  0.7500  0.2500  0.5000  4 Si 2.43, 4 Ta 2.64

As for the energy relative to the elements, uncorrected: 21.0 kJ per mole of atoms.

=====

No. 6
Rb2NaTeSe: relaxed, PBE.

abc: 6.6116 6.6116 5.3745
angles: 90.00 90.00 90.00
Last column: nearest neighbours and their distance in Å.
Fractional positions:
Na  0.0000  0.0000  0.5000  2 Se 2.69
Te  0.5000  0.5000  0.5000  8 Rb 4.26, 4 Na 4.68
Se  0.0000  0.0000  0.0000  2 Na 2.69
Rb  0.0000  0.5000  0.0000  2 Se 3.31
Rb  0.5000  0.0000  0.0000  2 Se 3.31

As for the distance to the lowest polymorph of the same formula: 0 kJ/mol of formula units. As for the energy relative to the elements, uncorrected: -69.0 kJ per mole of atoms.

=====

- Which formula does entry 2 have?
  AlV12H4